Record 1
# Ba3Tl

A relaxed structure of Ba3Tl (PBEsol, Alexandria).

Structure (CIF):
```
data_Ba3Tl
_space_group_name_H-M_alt 'I 4/m m m'
_space_group_IT_number 139
_space_group_name_Hall '-I 4 2'
_cell_length_a 5.5621
_cell_length_b 5.5621
_cell_length_c 10.6522
_cell_angle_alpha 90.00
_cell_angle_beta 90.00
_cell_angle_gamma 90.00
loop_
_atom_site_label
_atom_site_fract_x
_atom_site_fract_y
_atom_site_fract_z
Ba1 0.0000 0.0000 0.0000
Ba2 0.0000 0.5000 0.2500
Tl1 0.0000 0.0000 0.5000
```

Calculated values
**D(E_F)**: 1.177 states/eV/atom
**Crystal system**: tetragonal
**E_form**: -140 meV per atom
**Total moment**: 0.00 μB/cell



Record 2
# Ba3Tl2

A relaxed structure of Ba3Tl2 (PBEsol, Alexandria).

Structure (CIF):
```
data_Ba3Tl2
_space_group_name_H-M_alt 'P -3 m 1'
_space_group_IT_number 164
_space_group_name_Hall '-P 3 2"'
_cell_length_a 5.8604
_cell_length_b 5.8604
_cell_length_c 7.2602
_cell_angle_alpha 90.00
_cell_angle_beta 90.00
_cell_angle_gamma 120.00
loop_
_atom_site_label
_atom_site_fract_x
_atom_site_fract_y
_atom_site_fract_z
Ba1 0.0000 0.0000 0.0000
Ba2 0.3333 0.6667 0.3388
Tl1 0.3333 0.6667 0.8544
```

Calculated values
**D(E_F)**: 0.877 states/eV/atom
**Crystal system**: trigonal
**E_form**: -319 meV per atom
**Total moment**: 0.00 μB/cell
**E above lowest polymorph**: 0 meV per atom



Record 3
# Ba2Tl

A relaxed structure of Ba2Tl (PBEsol, Alexandria).

Structure (CIF):
```
data_Ba2Tl
_space_group_name_H-M_alt 'I 41/a m d'
_space_group_IT_number 141
_cell_length_a 4.2022
_cell_length_b 4.2022
_cell_length_c 31.4773
_cell_angle_alpha 90.00
_cell_angle_beta 90.00
_cell_angle_gamma 90.00
loop_
_space_group_symop_operation_xyz
'x,y,z'
'-x,-y,-z'
'-y+1/4,x+3/4,z+1/4'
'y+1/4,-x+3/4,-z+1/4'
'-x+1/2,-y,z+1/2'
'x+1/2,y,-z+1/2'
'y+1/4,-x+1/4,z+3/4'
'-y+1/4,x+1/4,-z+3/4'
'x,-y,-z'
'-x,y,z'
'-y+1/4,-x+1/4,-z+3/4'
'y+1/4,x+1/4,z+3/4'
'-x+1/2,y,-z+1/2'
'x+1/2,-y,z+1/2'
'y+1/4,x+3/4,-z+1/4'
'-y+1/4,-x+3/4,z+1/4'
'x+1/2,y+1/2,z+1/2'
'-x+1/2,-y+1/2,-z+1/2'
'-y+3/4,x+1/4,z+3/4'
'y+3/4,-x+1/4,-z+3/4'
'-x,-y+1/2,z'
'x,y+1/2,-z'
'y+3/4,-x+3/4,z+1/4'
'-y+3/4,x+3/4,-z+1/4'
'x+1/2,-y+1/2,-z+1/2'
'-x+1/2,y+1/2,z+1/2'
'-y+3/4,-x+3/4,-z+1/4'
'y+3/4,x+3/4,z+1/4'
'-x,y+1/2,-z'
'x,-y+1/2,z'
'y+3/4,x+1/4,-z+3/4'
'-y+3/4,-x+1/4,z+3/4'
loop_
_atom_site_label
_atom_site_fract_x
_atom_site_fract_y
_atom_site_fract_z
Ba1 0.0000 0.2500 0.3126
Tl1 0.0000 0.2500 0.8750
```

Calculated values
**D(E_F)**: 0.737 states/eV/atom
**Crystal system**: tetragonal
**E_form**: -283 meV per atom
**Total moment**: 0.00 μB/cell



Record 4
# Ba3Tl

A relaxed structure of Ba3Tl (PBEsol, Alexandria).

Structure (CIF):
```
data_Ba3Tl
_space_group_name_H-M_alt 'P 4/m m m'
_space_group_IT_number 123
_space_group_name_Hall '-P 4 2'
_cell_length_a 4.2409
_cell_length_b 4.2409
_cell_length_c 10.7099
_cell_angle_alpha 90.00
_cell_angle_beta 90.00
_cell_angle_gamma 90.00
loop_
_atom_site_label
_atom_site_fract_x
_atom_site_fract_y
_atom_site_fract_z
Ba1 0.0000 0.0000 0.0000
Ba2 0.5000 0.5000 0.3168
Tl1 0.0000 0.0000 0.5000
```

Calculated values
**D(E_F)**: 1.137 states/eV/atom
**Crystal system**: tetragonal
**E_form**: -227 meV per atom
**Total moment**: 0.00 μB/cell



Question: Look up the total moment of the first one.
Answer: 0.00 μB/cell



Question: What is the total moment in the third record?
Answer: 0.00 μB/cell